1.
First-principles (PBE-GGA) data for a relaxed Tm4AuSeS2 crystal, as listed in the Alexandria database.

Values from the calculation:
energy: -5.6786 eV/atom
density of states at the Fermi level: 4.50 states/eV/f.u.

Structure (CIF):
```
data_Tm4AuSeS2
_cell_length_a 6.902
_cell_length_b 3.846
_cell_length_c 7.009
_cell_angle_alpha 90.00
_cell_angle_beta 108.00
_cell_angle_gamma 90.00
_space_group_name_H-M_alt 'P 1 2/m 1'
_space_group_IT_number 10
_space_group_name_Hall '-P 2y'
loop_
_atom_site_label
_atom_site_type_symbol
_atom_site_fract_x
_atom_site_fract_y
_atom_site_fract_z
Tm1 Tm 0.243 0.000 0.235
Tm2 Tm 0.251 0.500 0.761
Au1 Au 0.000 0.000 0.500
Se1 Se 0.500 0.500 0.500
S1 S 0.000 0.500 0.000
S2 S 0.500 0.000 0.000
```

***

2.
First-principles (PBE-GGA) data for a relaxed ZnIrOF2 crystal, as listed in the Alexandria database.

Values from the calculation:
energy: -4.0368 eV/atom
density of states at the Fermi level: 5.56 states/eV/f.u.

Structure (CIF):
```
data_ZnIrOF2
_cell_length_a 3.759
_cell_length_b 3.759
_cell_length_c 4.624
_cell_angle_alpha 90.00
_cell_angle_beta 90.00
_cell_angle_gamma 90.00
_space_group_name_H-M_alt 'P 4/m m m'
_space_group_IT_number 123
_space_group_name_Hall '-P 4 2'
loop_
_atom_site_label
_atom_site_type_symbol
_atom_site_fract_x
_atom_site_fract_y
_atom_site_fract_z
Zn1 Zn 0.000 0.000 0.000
Ir1 Ir 0.500 0.500 0.500
O1 O 0.000 0.000 0.500
F1 F 0.000 0.500 0.000
```

***

3.
First-principles (PBE-GGA) data for a relaxed Ac2PdPt3 crystal, as listed in the Alexandria database.

Values from the calculation:
energy: -6.2292 eV/atom
density of states at the Fermi level: 4.74 states/eV/f.u.
energy relative to the elements: -0.974 eV/atom

Structure (CIF):
```
data_Ac2PdPt3
_cell_length_a 8.180
_cell_length_b 9.214
_cell_length_c 15.723
_cell_angle_alpha 90.00
_cell_angle_beta 90.00
_cell_angle_gamma 90.00
_space_group_name_H-M_alt 'F m m m'
_space_group_IT_number 69
_space_group_name_Hall '-F 2 2'
loop_
_atom_site_label
_atom_site_type_symbol
_atom_site_fract_x
_atom_site_fract_y
_atom_site_fract_z
Ac1 Ac 0.249 0.000 0.000
Ac2 Ac 0.250 0.250 0.250
Pd1 Pd 0.000 0.000 0.165
Pt1 Pt 0.000 0.000 0.335
Pt2 Pt 0.000 0.247 0.417
```

***

4.
First-principles (PBE-GGA) data for a relaxed Pu6ThTl5 crystal, as listed in the Alexandria database.

Values from the calculation:
energy: -8.7082 eV/atom
density of states at the Fermi level: 52.63 states/eV/f.u.
energy relative to the elements: 0.062 eV/atom

Structure (CIF):
```
data_Pu6ThTl5
_cell_length_a 4.746
_cell_length_b 9.508
_cell_length_c 14.462
_cell_angle_alpha 90.00
_cell_angle_beta 90.00
_cell_angle_gamma 90.00
_space_group_name_H-M_alt 'I m m m'
_space_group_IT_number 71
_space_group_name_Hall '-I 2 2'
loop_
_atom_site_label
_atom_site_type_symbol
_atom_site_fract_x
_atom_site_fract_y
_atom_site_fract_z
Pu1 Pu 0.000 0.249 0.000
Pu2 Pu 0.000 0.251 0.328
Th1 Th 0.000 0.500 0.500
Tl1 Tl 0.000 0.000 0.164
Tl2 Tl 0.000 0.000 0.500
Tl3 Tl 0.000 0.500 0.166
```

***

5.
First-principles (PBE-GGA) data for a relaxed Er2Tm3Mg3 crystal, as listed in the Alexandria database.

Values from the calculation:
energy: -3.4602 eV/atom
density of states at the Fermi level: 8.95 states/eV/f.u.
energy relative to the elements: -0.045 eV/atom

Structure (CIF):
```
data_Er2Tm3Mg3
_cell_length_a 3.708
_cell_length_b 5.360
_cell_length_c 22.148
_cell_angle_alpha 90.00
_cell_angle_beta 90.00
_cell_angle_gamma 90.00
_space_group_name_H-M_alt 'I m m m'
_space_group_IT_number 71
_space_group_name_Hall '-I 2 2'
loop_
_atom_site_label
_atom_site_type_symbol
_atom_site_fract_x
_atom_site_fract_y
_atom_site_fract_z
Er1 Er 0.000 0.000 0.235
Tm1 Tm 0.000 0.000 0.000
Tm2 Tm 0.000 0.500 0.126
Mg1 Mg 0.000 0.000 0.500
Mg2 Mg 0.000 0.500 0.384
```

***

6.
First-principles (PBE-GGA) data for a relaxed Ac4Pm4Pr crystal, as listed in the Alexandria database.

Values from the calculation:
energy: -4.4300 eV/atom
density of states at the Fermi level: 15.98 states/eV/f.u.
energy relative to the elements: 0.038 eV/atom

Structure (CIF):
```
data_Ac4Pm4Pr
_cell_length_a 11.452
_cell_length_b 11.452
_cell_length_c 5.377
_cell_angle_alpha 90.00
_cell_angle_beta 90.00
_cell_angle_gamma 90.00
_space_group_name_H-M_alt 'I 4/m m m'
_space_group_IT_number 139
_space_group_name_Hall '-I 4 2'
loop_
_atom_site_label
_atom_site_type_symbol
_atom_site_fract_x
_atom_site_fract_y
_atom_site_fract_z
Ac1 Ac 0.167 0.167 0.000
Pm1 Pm 0.000 0.340 0.500
Pr1 Pr 0.000 0.000 0.500
```

***

7.
First-principles (PBE-GGA) data for a relaxed NaAuN2 crystal, as listed in the Alexandria database.

Values from the calculation:
energy: -3.8162 eV/atom
density of states at the Fermi level: 2.46 states/eV/f.u.

Structure (CIF):
```
data_NaAuN2
_cell_length_a 5.655
_cell_length_b 5.655
_cell_length_c 5.655
_cell_angle_alpha 90.00
_cell_angle_beta 90.00
_cell_angle_gamma 90.00
_space_group_name_H-M_alt 'F m -3 m'
_space_group_IT_number 225
_space_group_name_Hall '-F 4 2 3'
loop_
_atom_site_label
_atom_site_type_symbol
_atom_site_fract_x
_atom_site_fract_y
_atom_site_fract_z
Na1 Na 0.000 0.000 0.000
Au1 Au 0.000 0.000 0.500
N1 N 0.250 0.250 0.250
```

***

8.
First-principles (PBE-GGA) data for a relaxed LaHg5 crystal, as listed in the Alexandria database.

Values from the calculation:
energy: -1.3586 eV/atom
density of states at the Fermi level: 3.68 states/eV/f.u.
energy relative to the elements: -0.286 eV/atom

Structure (CIF):
```
data_LaHg5
_cell_length_a 9.030
_cell_length_b 5.178
_cell_length_c 6.725
_cell_angle_alpha 90.00
_cell_angle_beta 94.99
_cell_angle_gamma 90.00
_space_group_name_H-M_alt 'C 1 2/m 1'
_space_group_IT_number 12
_space_group_name_Hall '-C 2y'
loop_
_atom_site_label
_atom_site_type_symbol
_atom_site_fract_x
_atom_site_fract_y
_atom_site_fract_z
La1 La 0.000 0.000 0.000
Hg1 Hg 0.000 0.000 0.500
Hg2 Hg 0.155 0.500 0.751
Hg3 Hg 0.177 0.500 0.246
```